Computed, not measured: a crystal of BaZrP2O8 relaxed with PBEsol at the meta-GGA SCAN level of DFT.

a = 5.279 Å, b = 5.279 Å, c = 7.485 Å
α = 90.00°, β = 90.00°, γ = 120.00°
Atoms (fractional coordinates):
1 Ba 0.000 0.000 0.000
2 Zr 0.000 0.000 0.500
3 P 0.333 0.667 0.253
4 P 0.667 0.333 0.747
5 O 0.175 0.350 0.327
6 O 0.175 0.825 0.327
7 O 0.333 0.667 0.050
8 O 0.350 0.175 0.673
9 O 0.650 0.825 0.327
10 O 0.667 0.333 0.950
11 O 0.825 0.175 0.673
12 O 0.825 0.650 0.673

---

Computed, not measured: a crystal of BaPaO3 relaxed with PBEsol at the meta-GGA SCAN level of DFT.

a = 4.444 Å, b = 4.444 Å, c = 4.444 Å
α = 90.00°, β = 90.00°, γ = 90.00°
Atoms (fractional coordinates):
1 Ba 0.000 0.000 0.000
2 Pa 0.500 0.500 0.500
3 O 0.000 0.500 0.500
4 O 0.500 0.000 0.500
5 O 0.500 0.500 0.000

---

Computed, not measured: a crystal of Ba3PbO relaxed with PBEsol at the meta-GGA SCAN level of DFT.

a = 5.452 Å, b = 5.452 Å, c = 5.452 Å
α = 90.00°, β = 90.00°, γ = 90.00°
Atoms (fractional coordinates):
1 Ba 0.000 0.000 0.500
2 Ba 0.000 0.500 0.000
3 Ba 0.500 0.000 0.000
4 Pb 0.500 0.500 0.500
5 O 0.000 0.000 0.000

---

Computed, not measured: a crystal of Ba3PbS4O16 relaxed with PBEsol at the meta-GGA SCAN level of DFT.

a = 7.094 Å, b = 5.422 Å, c = 8.747 Å
α = 90.00°, β = 90.40°, γ = 90.00°
Atoms (fractional coordinates):
1 Ba 0.000 0.000 0.000
2 Ba 0.183 0.000 0.499
3 Ba 0.499 0.500 0.867
4 Pb 0.683 0.500 0.372
5 S 0.030 0.500 0.744
6 S 0.151 0.500 0.245
7 S 0.529 0.000 0.124
8 S 0.656 0.000 0.609
9 O 0.029 0.278 0.265
10 O 0.029 0.722 0.265
11 O 0.153 0.278 0.763
12 O 0.153 0.722 0.763
13 O 0.229 0.500 0.089
14 O 0.301 0.500 0.365
15 O 0.399 0.000 0.989
16 O 0.428 0.000 0.269
17 O 0.533 0.225 0.592
18 O 0.533 0.775 0.592
19 O 0.653 0.224 0.114
20 O 0.653 0.776 0.114
21 O 0.742 0.000 0.763
22 O 0.795 0.000 0.484
23 O 0.886 0.500 0.866
24 O 0.947 0.500 0.588

---

Going through the records in order, we get mass density values of 3.85, 7.88, 6.51, 4.95 g/cm3.
Going through the records in order, we get total DFT energy (no corrections) values of -14.8720, -34.9584, -41.7244, -16.1635 eV/atom.
Going through the records in order, we get formation energy (no corrections) values of -72.2, -77.9, -36.7, -53.1 kcal/mol of atoms.